(1)
GaHg5 | PBE-GGA | optimized geometry

Cell: 5.191 14.550 4.087 Å, 90.00 90.00 90.00°
Space group Cmmm (No. 65)
One atom of each set of equivalent atoms:
Ga (0.000, 0.000, 0.000)
Hg (0.000, 0.155, 0.500)
Hg (0.000, 0.327, 0.000)
Hg (0.000, 0.500, 0.500)

Calculated values
ΔH_f (0 K) ... 42 meV per atom
Energy above the most stable polymorph in this dataset ... 0 kJ/mol of formula units
Total moment ... 0.00 μB/f.u.

***

(2)
Er4Mg2Al | PBE-GGA | optimized geometry

Cell: 5.1553 5.1553 25.1732 Å, 90.00 90.00 120.00°
Space group R-3m (No. 166, hexagonal axes)
One atom of each set of equivalent atoms:
Er (0.0000, 0.0000, 0.1218)
Er (0.0000, 0.0000, 0.3738)
Mg (0.0000, 0.0000, 0.2459)
Al (0.0000, 0.0000, 0.5000)

Calculated values
ΔH_f (0 K) ... 35 meV per atom
Total moment ... 0.00 μB/f.u.

***

(3)
FeOsW2 | PBE-GGA | optimized geometry

Cell: 2.762 4.395 4.814 Å, 90.00 95.13 90.00°
Space group Pm (No. 6)
One atom of each set of equivalent atoms:
Fe (0.000, 0.000, 0.000)
Os (0.987, 0.500, 0.327)
W (0.392, 0.500, 0.840)
W (0.600, 0.000, 0.515)

Calculated values
ΔH_f (0 K) ... 164 meV per atom
Energy above the most stable polymorph in this dataset ... 21 kJ/mol of formula units
Total moment ... 0.72 μB/f.u.

***

(4)
Sr3Al2ZnAg6 | PBE-GGA | optimized geometry

Cell: 6.4656 6.4656 8.5445 Å, 90.00 90.00 120.00°
Space group P-3m1 (No. 164)
One atom of each set of equivalent atoms:
Sr (0.0000, 0.0000, 0.0000)
Sr (0.3333, 0.6667, 0.6662)
Al (0.3333, 0.6667, 0.0661)
Zn (0.0000, 0.0000, 0.5000)
Ag (0.1818, 0.3636, 0.3088)

Calculated values
ΔH_f (0 K) ... -72 meV per atom
Total moment ... 0.00 μB/f.u.

***

(5)
Nd6Bi2SbTe3 | PBE-GGA | optimized geometry

Cell: 19.823 4.548 9.077 Å, 90.00 103.19 90.00°
Space group C2/m (No. 12)
One atom of each set of equivalent atoms:
Nd (0.000, 0.000, 0.242)
Nd (0.163, 0.500, 0.082)
Nd (0.166, 0.500, 0.582)
Bi (0.167, 0.000, 0.333)
Sb (0.000, 0.500, 0.000)
Te (0.000, 0.500, 0.500)
Te (0.168, 0.000, 0.834)

Calculated values
ΔE_f (raw) ... -1253 meV/atom
Total moment ... 0.00 μB/f.u.

***

(6)
KCr3In | PBE-GGA | optimized geometry

Cell: 5.373 5.373 5.373 Å, 90.00 90.00 90.00°
Space group Pm-3m (No. 221)
One atom of each set of equivalent atoms:
K (0.000, 0.000, 0.000)
Cr (0.000, 0.500, 0.500)
In (0.500, 0.500, 0.500)

Calculated values
ΔH_f (0 K) ... 1235 meV per atom
Energy above the most stable polymorph in this dataset ... 0 kJ/mol of formula units
Total moment ... 13.96 μB/f.u.